(1)
Mn2AlCo | the Alexandria database | PBE | optimized geometry; excess energy over the best structure of this formula in the dataset = 0.1461 eV per atom; final energy = -29.7 eV for the cell shown; theoretical density = 6.96 g cm⁻³; energy relative to the elements = -0.479 eV/f.u.; symmetry = Immm (71)
1.0
-1.403 2.007 4.145
1.403 -2.007 4.145
1.403 2.007 -4.145
Mn Al Co
2 1 1
Direct
0.239 0.239 0.000 Mn
0.761 0.761 0.000 Mn
0.500 0.000 0.500 Al
0.000 0.500 0.500 Co



(2)
TbPm2TlHg4 | the Alexandria database | PBE | optimized geometry; final energy = -21.1 eV for the cell shown; theoretical density = 11.34 g cm⁻³; energy relative to the elements = -3.363 eV/f.u.; symmetry = R-3m (166)
1.0
2.629 1.518 8.904
-2.629 1.518 8.904
0.000 -3.036 8.904
Tb Pm Tl Hg
1 2 1 4
Direct
0.000 0.000 0.000 Tb
0.242 0.242 0.242 Pm
0.758 0.758 0.758 Pm
0.500 0.500 0.500 Tl
0.118 0.118 0.118 Hg
0.366 0.366 0.366 Hg
0.634 0.634 0.634 Hg
0.882 0.882 0.882 Hg



(3)
Tm6Ge2TeAs3 | the Alexandria database | PBE | optimized geometry; ΔE_f (raw) = -1217 meV per atom; final energy = -67.8 eV for the cell shown; theoretical density = 8.47 g cm⁻³; symmetry = C2/m (12)
1.0
9.011 -2.024 0.000
9.011 2.024 0.000
-1.993 0.000 8.126
Tm Ge Te As
6 2 1 3
Direct
0.002 0.002 0.270 Tm
0.326 0.326 0.914 Tm
0.333 0.333 0.413 Tm
0.667 0.667 0.587 Tm
0.674 0.674 0.086 Tm
0.998 0.998 0.730 Tm
0.167 0.167 0.333 Ge
0.833 0.833 0.667 Ge
0.500 0.500 0.000 Te
0.163 0.163 0.834 As
0.500 0.500 0.500 As
0.837 0.837 0.166 As



(4)
La2ErBi | the Alexandria database | PBE | optimized geometry; excess energy over the best structure of this formula in the dataset = 0.0000 eV per atom; final energy = -20.0 eV for the cell shown; theoretical density = 8.68 g cm⁻³; energy relative to the elements = -1.742 eV/f.u.; symmetry = P4/mmm (123)
1.0
4.976 0.000 0.000
0.000 4.976 0.000
0.000 0.000 5.053
La Er Bi
2 1 1
Direct
0.000 0.500 0.000 La
0.500 0.000 0.000 La
0.000 0.000 0.500 Er
0.500 0.500 0.500 Bi



> Which value of theoretical density does entry 1 give?

6.96 g cm⁻³



> Which formula does entry 3 have?

Tm6Ge2TeAs3



> Which formula does entry 3 have?

Tm6Ge2TeAs3